{"formula": "SrCu3Ir", "functional": "PBE", "state": "relaxed", "lattice_angstrom": [[2.864, -6.117, 0.000], [2.864, 6.117, 0.000], [0.000, 0.000, 5.012]], "species": ["Sr", "Sr", "Cu", "Cu", "Cu", "Cu", "Cu", "Cu", "Ir", "Ir"], "frac_coords": [[0.102, 0.898, 0.750], [0.898, 0.102, 0.250], [0.125, 0.442, 0.750], [0.309, 0.691, 0.250], [0.442, 0.125, 0.250], [0.558, 0.875, 0.750], [0.691, 0.309, 0.750], [0.875, 0.558, 0.250], [0.500, 0.500, 0.000], [0.500, 0.500, 0.500]], "formation_energy_ev_per_fu": -0.17, "spacegroup": "Cmcm (63)", "e_above_lowest_polymorph_ev_per_fu": 0.00}

{"formula": "Sr2CuIr2", "functional": "PBE", "state": "relaxed", "lattice_angstrom": [[4.626, 0.000, 0.000], [0.000, 5.105, 0.000], [0.000, 0.000, 9.654]], "species": ["Sr", "Sr", "Sr", "Sr", "Cu", "Cu", "Ir", "Ir", "Ir", "Ir"], "frac_coords": [[0.000, 0.000, 0.191], [0.000, 0.000, 0.809], [0.500, 0.500, 0.309], [0.500, 0.500, 0.691], [0.000, 0.500, 0.000], [0.500, 0.000, 0.500], [0.000, 0.255, 0.500], [0.000, 0.745, 0.500], [0.500, 0.245, 0.000], [0.500, 0.755, 0.000]], "formation_energy_ev_per_fu": -1.18, "spacegroup": "Immm (71)", "e_above_lowest_polymorph_ev_per_fu": 0.00}

{"formula": "SrCuIr4", "functional": "PBE", "state": "relaxed", "lattice_angstrom": [[0.000, 3.760, 3.760], [3.760, 0.000, 3.760], [3.760, 3.760, 0.000]], "species": ["Sr", "Cu", "Ir", "Ir", "Ir", "Ir"], "frac_coords": [[0.000, 0.000, 0.000], [0.750, 0.750, 0.750], [0.375, 0.375, 0.375], [0.375, 0.375, 0.874], [0.375, 0.874, 0.375], [0.874, 0.375, 0.375]], "formation_energy_ev_per_fu": 1.18, "spacegroup": "F-43m (216)"}

{"formula": "SrCu3Ir", "functional": "PBE", "state": "relaxed", "lattice_angstrom": [[4.769, 0.000, 0.000], [0.000, 4.769, 0.000], [0.000, 0.000, 4.769]], "species": ["Sr", "Cu", "Cu", "Cu", "Ir"], "frac_coords": [[0.000, 0.000, 0.000], [0.000, 0.000, 0.500], [0.000, 0.500, 0.000], [0.500, 0.000, 0.000], [0.500, 0.500, 0.500]], "formation_energy_ev_per_fu": 10.27, "spacegroup": "Pm-3m (221)", "e_above_lowest_polymorph_ev_per_fu": 10.44}

How do the records compare in total magnetization? In the order shown, they have 0.0, 0.0, 0.0, 0.0 Bohr magnetons per cell.